This record from Alexandria via LeMat-Bulk describes an optimized crystal structure of SrCoF. The functional is PBE+U.

Output
Calculated volume = 22.1 Å³/atom
Raw total energy = -25.37 eV for the cell shown
Magnetization = 0.659 μB/atom
D(E_F) = 0.555 states/eV/f.u.
Offset from the most stable computed form = 222 meV/atom
Symmetry = P1

Lattice parameters (Å, degrees): 3.951 5.818 6.539 86.07 107.20 70.25
Positions (direct):
Sr 0.367 0.347 0.620
Sr 0.340 0.770 0.014
Co 0.129 0.304 0.107
Co 0.788 0.132 0.260
F 0.027 0.077 0.670
F 0.822 0.589 0.785